1.
{
  "formula": "MnS",
  "functional": "GGA-PBEsol",
  "state": "optimized geometry",
  "lattice": [[0.0000, 2.4701, 2.4701], [2.4701, 0.0000, 2.4701], [2.4701, 2.4701, 0.0000]],
  "species": ["Mn", "S"],
  "fractional_positions": [[0.0000, 0.0000, 0.0000], [0.5000, 0.5000, 0.5000]],
  "e_form_raw_ev_per_atom": -0.418,
  "total_energy_ev_per_atom": -7.491
}


2.
{
  "formula": "BePtIN2",
  "functional": "GGA-PBEsol",
  "state": "optimized geometry",
  "lattice": [[3.6457, 0.0000, 0.0000], [0.0000, 3.6457, 0.0000], [0.0000, 0.0000, 5.7032]],
  "species": ["Be", "Pt", "I", "N", "N"],
  "fractional_positions": [[0.0000, 0.0000, 0.0000], [0.5000, 0.5000, 0.5000], [0.0000, 0.0000, 0.5000], [0.0000, 0.5000, 0.0000], [0.5000, 0.0000, 0.0000]],
  "de_polymorph_kj_per_mol_atoms": 25.4,
  "e_form_raw_ev_per_atom": 1.412,
  "total_energy_ev_per_atom": -4.545
}


3.
{
  "formula": "ZrMnIn",
  "functional": "GGA-PBEsol",
  "state": "optimized geometry",
  "lattice": [[4.6024, 0.0000, 0.0000], [-2.3012, 3.9858, 0.0000], [0.0000, 0.0000, 3.0837]],
  "species": ["Zr", "Mn", "In"],
  "fractional_positions": [[0.0000, 0.0000, 0.0000], [0.3333, 0.6667, 0.5000], [0.6667, 0.3333, 0.5000]],
  "total_energy_ev_per_atom": -7.211,
  "ef_ev_per_atom": 0.07
}


4.
{
  "formula": "CoSnPbW2",
  "functional": "GGA-PBEsol",
  "state": "optimized geometry",
  "lattice": [[4.5964, 0.0000, 0.0000], [0.0000, 4.5964, 0.0000], [0.0000, 0.0000, 4.6199]],
  "species": ["Co", "Sn", "Pb", "W", "W"],
  "fractional_positions": [[0.0000, 0.0000, 0.0000], [0.0000, 0.0000, 0.5000], [0.5000, 0.5000, 0.5000], [0.0000, 0.5000, 0.0000], [0.5000, 0.0000, 0.0000]],
  "total_energy_ev_per_atom": -7.492,
  "ef_ev_per_atom": 1.23
}


5.
{
  "formula": "CdReAg",
  "functional": "GGA-PBEsol",
  "state": "optimized geometry",
  "lattice": [[4.6997, 0.0000, 0.0000], [-2.3499, 4.0701, 0.0000], [0.0000, 0.0000, 2.6064]],
  "species": ["Cd", "Re", "Ag"],
  "fractional_positions": [[0.0000, 0.0000, 0.0000], [0.3333, 0.6667, 0.5767], [0.6667, 0.3333, 0.1491]],
  "de_polymorph_kj_per_mol_atoms": 0.0,
  "total_energy_ev_per_atom": -5.167,
  "ef_ev_per_atom": 0.78
}


6.
{
  "formula": "Ba2MgAu2",
  "functional": "GGA-PBEsol",
  "state": "optimized geometry",
  "lattice": [[8.1778, 0.0000, 0.0000], [0.0000, 8.1778, 0.0000], [0.0000, 0.0000, 4.5569]],
  "species": ["Ba", "Ba", "Ba", "Ba", "Mg", "Mg", "Au", "Au", "Au", "Au"],
  "fractional_positions": [[0.1716, 0.3284, 0.0000], [0.3284, 0.8284, 0.0000], [0.6716, 0.1716, 0.0000], [0.8284, 0.6716, 0.0000], [0.0000, 0.0000, 0.5000], [0.5000, 0.5000, 0.5000], [0.1288, 0.6288, 0.5000], [0.3712, 0.1288, 0.5000], [0.6288, 0.8712, 0.5000], [0.8712, 0.3712, 0.5000]],
  "total_energy_ev_per_atom": -3.299,
  "ef_ev_per_atom": -0.53
}


7.
{
  "formula": "Na3RhO",
  "functional": "GGA-PBEsol",
  "state": "optimized geometry",
  "lattice": [[5.3136, 0.0000, 0.0000], [0.0000, 5.3136, 0.0000], [0.0000, 0.0000, 5.3136]],
  "species": ["Na", "Na", "Na", "Rh", "O"],
  "fractional_positions": [[0.0000, 0.0000, 0.5000], [0.0000, 0.5000, 0.0000], [0.5000, 0.0000, 0.0000], [0.0000, 0.0000, 0.0000], [0.5000, 0.5000, 0.5000]],
  "e_form_raw_ev_per_atom": 0.895,
  "total_energy_ev_per_atom": -2.622
}


8.
{
  "formula": "TlPb",
  "functional": "GGA-PBEsol",
  "state": "optimized geometry",
  "lattice": [[3.4764, 0.0000, 0.0000], [0.0000, 3.4764, 0.0000], [0.0000, 0.0000, 9.6183]],
  "species": ["Tl", "Tl", "Pb", "Pb"],
  "fractional_positions": [[0.2500, 0.2500, 0.1245], [0.7500, 0.7500, 0.8755], [0.2500, 0.2500, 0.6233], [0.7500, 0.7500, 0.3767]],
  "total_energy_ev_per_atom": -3.328,
  "ef_ev_per_atom": -0.01
}


9.
{
  "formula": "K5SnSb3",
  "functional": "GGA-PBEsol",
  "state": "optimized geometry",
  "lattice": [[9.8024, 0.0000, 0.0000], [0.0000, 8.6149, 0.0000], [-9.7866, 0.0000, 15.9434]],
  "species": ["K", "K", "K", "K", "K", "K", "K", "K", "K", "K", "K", "K", "K", "K", "K", "K", "K", "K", "K", "K", "Sn", "Sn", "Sn", "Sn", "Sb", "Sb", "Sb", "Sb", "Sb", "Sb", "Sb", "Sb", "Sb", "Sb", "Sb", "Sb"],
  "fractional_positions": [[0.0005, 0.1767, 0.4217], [0.0005, 0.3233, 0.9217], [0.0614, 0.5055, 0.7560], [0.0614, 0.9945, 0.2560], [0.2895, 0.0030, 0.0884], [0.2895, 0.4970, 0.5884], [0.3164, 0.1642, 0.7402], [0.3164, 0.3358, 0.2402], [0.4127, 0.5179, 0.0776], [0.4127, 0.9821, 0.5776], [0.5873, 0.0179, 0.4224], [0.5873, 0.4821, 0.9224], [0.6836, 0.6642, 0.7598], [0.6836, 0.8358, 0.2598], [0.7105, 0.5030, 0.4116], [0.7105, 0.9970, 0.9116], [0.9386, 0.0055, 0.7440], [0.9386, 0.4945, 0.2440], [0.9995, 0.6767, 0.0783], [0.9995, 0.8233, 0.5783], [0.3394, 0.6446, 0.4125], [0.3394, 0.8554, 0.9125], [0.6606, 0.1446, 0.0875], [0.6606, 0.3554, 0.5875], [0.0759, 0.7376, 0.9194], [0.0759, 0.7624, 0.4194], [0.3508, 0.7352, 0.2703], [0.3508, 0.7648, 0.7703], [0.3524, 0.1912, 0.9340], [0.3524, 0.3088, 0.4340], [0.6476, 0.6912, 0.5660], [0.6476, 0.8088, 0.0660], [0.6492, 0.2352, 0.2297], [0.6492, 0.2648, 0.7297], [0.9241, 0.2376, 0.5806], [0.9241, 0.2624, 0.0806]],
  "e_form_raw_ev_per_atom": -0.417,
  "total_energy_ev_per_atom": -3.039
}


10.
{
  "formula": "AlInAg2",
  "functional": "GGA-PBEsol",
  "state": "optimized geometry",
  "lattice": [[1.5176, 0.8762, 9.0346], [-1.5176, 0.8762, 9.0346], [0.0000, -1.7524, 9.0346]],
  "species": ["Al", "In", "Ag", "Ag"],
  "fractional_positions": [[0.0000, 0.0000, 0.0000], [0.5000, 0.5000, 0.5000], [0.2563, 0.2563, 0.2563], [0.7437, 0.7437, 0.7437]],
  "total_energy_ev_per_atom": -3.438,
  "ef_ev_per_atom": -0.01
}


11.
{
  "formula": "NbTeIO2",
  "functional": "GGA-PBEsol",
  "state": "optimized geometry",
  "lattice": [[4.0760, 0.0000, 0.0000], [0.0000, 4.0760, 0.0000], [0.0000, 0.0000, 6.3752]],
  "species": ["Nb", "Te", "I", "O", "O"],
  "fractional_positions": [[0.0000, 0.0000, 0.0000], [0.5000, 0.5000, 0.5000], [0.5000, 0.5000, 0.0000], [0.0000, 0.5000, 0.5000], [0.5000, 0.0000, 0.5000]],
  "e_form_raw_ev_per_atom": 0.300,
  "total_energy_ev_per_atom": -5.023
}


12.
{
  "formula": "TlCoNF2",
  "functional": "GGA-PBEsol",
  "state": "optimized geometry",
  "lattice": [[4.4102, 0.0000, 0.0000], [0.0000, 4.4102, 0.0000], [0.0000, 0.0000, 4.1509]],
  "species": ["Tl", "Co", "N", "F", "F"],
  "fractional_positions": [[0.0000, 0.0000, 0.0000], [0.5000, 0.5000, 0.5000], [0.0000, 0.0000, 0.5000], [0.0000, 0.5000, 0.0000], [0.5000, 0.0000, 0.0000]],
  "e_form_raw_ev_per_atom": 0.445,
  "total_energy_ev_per_atom": -4.105
}


13.
{
  "formula": "NaGaS2N",
  "functional": "GGA-PBEsol",
  "state": "optimized geometry",
  "lattice": [[4.9994, 0.0000, 0.0000], [0.0000, 4.9994, 0.0000], [0.0000, 0.0000, 4.3505]],
  "species": ["Na", "Ga", "S", "S", "N"],
  "fractional_positions": [[0.0000, 0.0000, 0.0000], [0.5000, 0.5000, 0.5000], [0.0000, 0.5000, 0.0000], [0.5000, 0.0000, 0.0000], [0.0000, 0.0000, 0.5000]],
  "e_form_raw_ev_per_atom": 1.283,
  "total_energy_ev_per_atom": -3.123
}


14.
{
  "formula": "LaHfAs2",
  "functional": "GGA-PBEsol",
  "state": "optimized geometry",
  "lattice": [[-3.7163, 3.7163, 3.5336], [3.7163, -3.7163, 3.5336], [3.7163, 3.7163, -3.5336]],
  "species": ["La", "La", "Hf", "Hf", "As", "As", "As", "As"],
  "fractional_positions": [[0.0000, 0.0000, 0.0000], [0.7500, 0.2500, 0.5000], [0.2500, 0.7500, 0.5000], [0.5000, 0.5000, 0.0000], [0.1636, 0.1250, 0.5386], [0.3750, 0.8364, 0.9614], [0.5864, 0.6250, 0.4614], [0.8750, 0.4136, 0.0386]],
  "total_energy_ev_per_atom": -7.347,
  "ef_ev_per_atom": -0.83
}


15.
{
  "formula": "LiAlTl2O",
  "functional": "GGA-PBEsol",
  "state": "optimized geometry",
  "lattice": [[5.3887, 0.0000, 0.0000], [0.0000, 5.3887, 0.0000], [0.0000, 0.0000, 3.3287]],
  "species": ["Li", "Al", "Tl", "Tl", "O"],
  "fractional_positions": [[0.0000, 0.0000, 0.0000], [0.5000, 0.5000, 0.5000], [0.0000, 0.5000, 0.0000], [0.5000, 0.0000, 0.0000], [0.0000, 0.0000, 0.5000]],
  "e_form_raw_ev_per_atom": -0.222,
  "total_energy_ev_per_atom": -3.535
}


16.
{
  "formula": "CdAsIr2",
  "functional": "GGA-PBEsol",
  "state": "optimized geometry",
  "lattice": [[2.9098, 0.0000, 0.0000], [0.0000, 4.1320, 0.0000], [-1.2624, 0.0000, 5.2743]],
  "species": ["Cd", "As", "Ir", "Ir"],
  "fractional_positions": [[0.0000, 0.0000, 0.0000], [0.5000, 0.0000, 0.5000], [0.3740, 0.5000, 0.7320], [0.6260, 0.5000, 0.2680]],
  "de_polymorph_kj_per_mol_atoms": 6.7,
  "total_energy_ev_per_atom": -6.266,
  "ef_ev_per_atom": 0.22
}


17.
{
  "formula": "CuTe2Au",
  "functional": "GGA-PBEsol",
  "state": "optimized geometry",
  "lattice": [[-2.9891, 2.9891, 5.9309], [2.9891, -2.9891, 5.9309], [2.9891, 2.9891, -5.9309]],
  "species": ["Cu", "Cu", "Te", "Te", "Te", "Te", "Au", "Au"],
  "fractional_positions": [[0.0000, 0.0000, 0.0000], [0.7500, 0.2500, 0.5000], [0.1014, 0.6250, 0.9764], [0.3750, 0.3514, 0.4764], [0.6486, 0.1250, 0.0236], [0.8750, 0.8986, 0.5236], [0.2500, 0.7500, 0.5000], [0.5000, 0.5000, 0.0000]],
  "e_form_raw_ev_per_atom": 0.031,
  "total_energy_ev_per_atom": -3.796
}


18.
{
  "formula": "PmTmRu2",
  "functional": "GGA-PBEsol",
  "state": "optimized geometry",
  "lattice": [[0.0000, 3.3633, 3.3633], [3.3633, 0.0000, 3.3633], [3.3633, 3.3633, 0.0000]],
  "species": ["Pm", "Tm", "Ru", "Ru"],
  "fractional_positions": [[0.0000, 0.0000, 0.0000], [0.5000, 0.5000, 0.5000], [0.2500, 0.2500, 0.2500], [0.7500, 0.7500, 0.7500]],
  "total_energy_ev_per_atom": -7.791,
  "ef_ev_per_atom": -0.20
}


19.
{
  "formula": "YMo2",
  "functional": "GGA-PBEsol",
  "state": "optimized geometry",
  "lattice": [[1.6140, -7.0081, 0.0000], [1.6140, 7.0081, 0.0000], [0.0000, 0.0000, 4.9019]],
  "species": ["Y", "Y", "Mo", "Mo", "Mo", "Mo"],
  "fractional_positions": [[0.2421, 0.7579, 0.7500], [0.7579, 0.2421, 0.2500], [0.0696, 0.9304, 0.2500], [0.4330, 0.5670, 0.2500], [0.5670, 0.4330, 0.7500], [0.9304, 0.0696, 0.7500]],
  "total_energy_ev_per_atom": -9.732,
  "ef_ev_per_atom": 0.39
}


20.
{
  "formula": "Al2SiNi",
  "functional": "GGA-PBEsol",
  "state": "optimized geometry",
  "lattice": [[-2.3424, 2.3424, 2.4956], [2.3424, -2.3424, 2.4956], [2.3424, 2.3424, -2.4956]],
  "species": ["Al", "Al", "Si", "Ni"],
  "fractional_positions": [[0.2500, 0.7500, 0.5000], [0.7500, 0.2500, 0.5000], [0.0000, 0.0000, 0.0000], [0.5000, 0.5000, 0.0000]],
  "de_polymorph_kj_per_mol_atoms": 22.9,
  "e_form_raw_ev_per_atom": -0.110,
  "total_energy_ev_per_atom": -5.132
}


21.
{
  "formula": "Ca2ZrRh",
  "functional": "GGA-PBEsol",
  "state": "optimized geometry",
  "lattice": [[0.0000, 3.5075, 3.5075], [3.5075, 0.0000, 3.5075], [3.5075, 3.5075, 0.0000]],
  "species": ["Ca", "Ca", "Zr", "Rh"],
  "fractional_positions": [[0.0000, 0.0000, 0.0000], [0.2500, 0.2500, 0.2500], [0.5000, 0.5000, 0.5000], [0.7500, 0.7500, 0.7500]],
  "de_polymorph_kj_per_mol_atoms": 0.0,
  "total_energy_ev_per_atom": -5.264,
  "ef_ev_per_atom": 0.11
}


22.
{
  "formula": "KSc2MnTe",
  "functional": "GGA-PBEsol",
  "state": "optimized geometry",
  "lattice": [[4.7508, 0.0000, 0.0000], [0.0000, 4.7508, 0.0000], [0.0000, 0.0000, 5.5619]],
  "species": ["K", "Sc", "Sc", "Mn", "Te"],
  "fractional_positions": [[0.0000, 0.0000, 0.0000], [0.0000, 0.5000, 0.0000], [0.5000, 0.0000, 0.0000], [0.5000, 0.5000, 0.5000], [0.0000, 0.0000, 0.5000]],
  "e_form_raw_ev_per_atom": 1.441,
  "total_energy_ev_per_atom": -4.085
}


23.
{
  "formula": "Ti2Zn3O7",
  "functional": "GGA-PBEsol",
  "state": "optimized geometry",
  "lattice": [[9.0502, -2.5853, 0.0000], [9.0502, 2.5853, 0.0000], [0.0000, 0.0000, 5.2117]],
  "species": ["Ti", "Ti", "Ti", "Ti", "Zn", "Zn", "Zn", "Zn", "Zn", "Zn", "O", "O", "O", "O", "O", "O", "O", "O", "O", "O", "O", "O", "O", "O"],
  "fractional_positions": [[0.1461, 0.6475, 0.5000], [0.3525, 0.8539, 0.5000], [0.6475, 0.1461, 0.0000], [0.8539, 0.3525, 0.0000], [0.0257, 0.5763, 0.0331], [0.2527, 0.7473, 0.9551], [0.4237, 0.9743, 0.0331], [0.5763, 0.0257, 0.5330], [0.7473, 0.2527, 0.4551], [0.9743, 0.4237, 0.5330], [0.0074, 0.1474, 0.6653], [0.0597, 0.3493, 0.9130], [0.1474, 0.0074, 0.1653], [0.2907, 0.4513, 0.8071], [0.3493, 0.0597, 0.4130], [0.3697, 0.6303, 0.5437], [0.4513, 0.2907, 0.3071], [0.5487, 0.7093, 0.8071], [0.6303, 0.3697, 0.0437], [0.6507, 0.9403, 0.9130], [0.7093, 0.5487, 0.3071], [0.8526, 0.9926, 0.6653], [0.9403, 0.6507, 0.4130], [0.9926, 0.8526, 0.1653]],
  "e_form_raw_ev_per_atom": -2.187,
  "total_energy_ev_per_atom": -7.031
}


24.
{
  "formula": "TcTeRh",
  "functional": "GGA-PBEsol",
  "state": "optimized geometry",
  "lattice": [[0.0000, 3.0256, 3.0256], [3.0256, 0.0000, 3.0256], [3.0256, 3.0256, 0.0000]],
  "species": ["Tc", "Te", "Rh"],
  "fractional_positions": [[0.0000, 0.0000, 0.0000], [0.7500, 0.7500, 0.7500], [0.2500, 0.2500, 0.2500]],
  "de_polymorph_kj_per_mol_atoms": 0.0,
  "e_form_raw_ev_per_atom": 0.187,
  "total_energy_ev_per_atom": -7.456
}


25.
{
  "formula": "BeRuPt",
  "functional": "GGA-PBEsol",
  "state": "optimized geometry",
  "lattice": [[0.0000, 2.6888, 2.6888], [2.6888, 0.0000, 2.6888], [2.6888, 2.6888, 0.0000]],
  "species": ["Be", "Ru", "Pt"],
  "fractional_positions": [[0.0000, 0.0000, 0.0000], [0.2500, 0.2500, 0.2500], [0.7500, 0.7500, 0.7500]],
  "de_polymorph_kj_per_mol_atoms": 0.0,
  "total_energy_ev_per_atom": -6.971,
  "ef_ev_per_atom": 0.07
}